(1)
Crystalline HgH2Pt at its relaxed geometry. Source: the Alexandria database, functional PBE-GGA.

```
HgH2Pt
1.0
2.489 -1.573 0.000
2.489 1.573 0.000
-0.266 0.000 6.575
Hg H Pt
1 2 1
Direct
0.000 0.000 0.000
0.338 0.338 0.610
0.649 0.649 0.390
0.994 0.994 0.500
```

Output
- Fermi-level density of states (states/eV/atom) = 0.212
- total DFT energy (no corrections) (eV/atom) = -3.1489
- offset from the most stable computed form (kJ/mol of atoms) = 9.6

---

(2)
Crystalline Tb2DySb at its relaxed geometry. Source: the Alexandria database, functional PBE-GGA.

```
Tb2DySb
1.0
2.002 1.156 9.486
-2.002 1.156 9.486
0.000 -2.312 9.486
Tb Dy Sb
2 1 1
Direct
0.000 0.000 0.000
0.197 0.197 0.197
0.765 0.765 0.765
0.599 0.599 0.599
```

Output
- Fermi-level density of states (states/eV/atom) = 1.014
- raw formation energy (meV per atom) = -331
- total DFT energy (no corrections) (eV/atom) = -4.8274
- offset from the most stable computed form (kJ/mol of atoms) = 21.4

---

(3)
Crystalline Li2SbPb at its relaxed geometry. Source: the Alexandria database, functional PBE-GGA.

```
Li2SbPb
1.0
2.273 -2.319 0.000
2.273 2.319 0.000
0.000 0.000 8.526
Li Sb Pb
2 1 1
Direct
0.000 0.000 0.234
0.000 0.000 0.766
0.500 0.500 0.000
0.500 0.500 0.500
```

Output
- Fermi-level density of states (states/eV/atom) = 0.279
- raw formation energy (meV per atom) = -333
- total DFT energy (no corrections) (eV/atom) = -3.2473
- offset from the most stable computed form (kJ/mol of atoms) = 3.5

---

(4)
Crystalline Nd2PaCr2C4 at its relaxed geometry. Source: the Alexandria database, functional PBE-GGA.

```
Nd2PaCr2C4
1.0
6.633 -1.750 0.000
6.633 1.750 0.000
-2.064 0.000 5.794
Nd Pa Cr C
2 1 2 4
Direct
0.135 0.135 0.042
0.865 0.865 0.958
0.000 0.000 0.500
0.316 0.316 0.507
0.684 0.684 0.493
0.213 0.213 0.673
0.456 0.456 0.731
0.544 0.544 0.269
0.787 0.787 0.327
```

Output
- Fermi-level density of states (states/eV/atom) = 0.720
- total DFT energy (no corrections) (eV/atom) = -8.4386
- formation energy from the elements (kJ/mol of formula units) = -75

---

(5)
Crystalline Ta3Au5 at its relaxed geometry. Source: the Alexandria database, functional PBE-GGA.

```
Ta3Au5
1.0
4.152 -4.258 0.000
4.152 4.258 0.000
0.000 0.000 4.055
Ta Au
3 5
Direct
0.000 0.000 0.000
0.235 0.765 0.500
0.765 0.235 0.500
0.000 0.500 0.000
0.250 0.250 0.500
0.500 0.000 0.000
0.500 0.500 0.000
0.750 0.750 0.500
```

Output
- Fermi-level density of states (states/eV/atom) = 0.922
- total DFT energy (no corrections) (eV/atom) = -6.4124
- offset from the most stable computed form (kJ/mol of atoms) = 4.3
- formation energy from the elements (kJ/mol of formula units) = 62

---

(6)
Crystalline Er2TmCd3 at its relaxed geometry. Source: the Alexandria database, functional PBE-GGA.

```
Er2TmCd3
1.0
3.711 0.000 0.000
0.000 3.711 0.000
0.000 0.000 11.103
Er Tm Cd
2 1 3
Direct
0.000 0.000 0.167
0.000 0.000 0.833
0.000 0.000 0.500
0.500 0.500 0.000
0.500 0.500 0.335
0.500 0.500 0.665
```

Output
- Fermi-level density of states (states/eV/atom) = 0.828
- total DFT energy (no corrections) (eV/atom) = -3.0386
- formation energy from the elements (kJ/mol of formula units) = -182

---

Which of these has the highest Fermi-level density of states?
Tb2DySb

---

Look up the Fermi-level density of states of the fourth one.
0.720 states/eV/atom